A plane-wave DFT calculation with PBE was carried out for Ac2Sn3SbPd4 after structural relaxation.

M_tot: 0.000 μB/atom
V: 241.2 Å³ per cell
Uncorrected formation energy: -0.83 eV per atom
E_tot: -53.379 eV per cell
DOS(E_F): 6.36 states/eV per cell

Lattice parameters (Å, degrees): 4.7438 4.7438 10.7203 90.00 90.00 90.00
Closest atoms and distances in Å follow each position.
Positions (direct):
Ac  0.0000  0.5000  0.2420  8 Pd 3.52-3.64, 7 Sn 3.59-3.92, 2 Sb 3.64
Ac  0.5000  0.0000  0.7580  8 Pd 3.52-3.64, 7 Sn 3.59-3.92, 2 Sb 3.64
Sn  0.0000  0.5000  0.8765  5 Pd 2.67-2.72
Sn  0.5000  0.0000  0.1235  5 Pd 2.67-2.72
Sn  0.5000  0.5000  0.5000  4 Pd 2.74
Sb  0.0000  0.0000  0.5000  4 Pd 2.74
Pd  0.0000  0.0000  0.0000  4 Sn 2.72
Pd  0.0000  0.5000  0.6272  3 Sn 2.67-2.74, 2 Sb 2.74
Pd  0.5000  0.0000  0.3728  3 Sn 2.67-2.74, 2 Sb 2.74
Pd  0.5000  0.5000  0.0000  4 Sn 2.72